Record 1
This record from the Alexandria database describes a relaxed structure of K3CoCl6. The functional is PBE.

Computed properties:
ρ ... 2.32 g cm⁻³
E_form (uncorrected) ... -1335.4 kJ/mol of formula units
Spin magnetization ... 0.02 μB/atom
Calculated total energy ... -3.532 eV per atom

Cell lengths 7.228, 7.450, 10.325 Å; angles 90.00, 89.06, 90.00 degrees
Each line ends with the local moment (μB).
Positions (direct):
K1 0.481 0.067 0.745  0.00
K2 0.000 0.000 0.500  0.00
K3 0.500 0.500 0.000  0.00
K4 0.519 0.933 0.255  0.00
K5 0.019 0.567 0.755  0.00
K6 0.981 0.433 0.245  0.00
Co1 0.000 0.000 0.000  -0.16
Co2 0.500 0.500 0.500  -0.16
Cl1 0.658 0.243 0.450  0.00
Cl2 0.908 0.978 0.791  0.00
Cl3 0.257 0.834 0.952  0.00
Cl4 0.592 0.478 0.709  0.00
Cl5 0.408 0.522 0.291  0.00
Cl6 0.092 0.022 0.209  0.00
Cl7 0.743 0.166 0.048  0.00
Cl8 0.842 0.743 0.050  0.00
Cl9 0.757 0.666 0.452  0.00
Cl10 0.158 0.257 0.950  0.00
Cl11 0.342 0.757 0.550  0.00
Cl12 0.243 0.334 0.548  0.00


Record 2
This record from the Alexandria database describes a relaxed structure of KCoCl2. The functional is PBE.

Computed properties:
ρ ... 3.25 g cm⁻³
Distance to the lowest polymorph of the same formula ... 454.1 meV per atom
E_form (uncorrected) ... -154.6 kJ/mol of formula units
Spin magnetization ... 0.52 μB/atom
Calculated total energy ... -3.375 eV per atom
DOS(E_F) ... 8.933 states/eV/cell

Cell lengths 4.962, 4.962, 4.962 Å; angles 60.00, 60.00, 60.00 degrees
Each line ends with the local moment (μB).
Positions (direct):
K1 0.000 0.000 0.000  0.00
Cl1 0.250 0.250 0.250  0.04
Cl2 0.750 0.750 0.750  0.04
Co1 0.500 0.500 0.500  1.97


Record 3
This record from the Alexandria database describes a relaxed structure of K2Co3Cl9. The functional is PBE.

Computed properties:
ρ ... 2.40 g cm⁻³
E_form (uncorrected) ... -1192.5 kJ/mol of formula units
Spin magnetization ... 0.72 μB/atom
Calculated total energy ... -3.749 eV per atom
DOS(E_F) ... 29.787 states/eV/cell

Cell lengths 9.893, 9.930, 9.930 Å; angles 113.81, 104.49, 104.49 degrees
Each line ends with the local moment (μB).
Positions (direct):
Co1 0.338 0.156 0.156  2.59
Co2 0.306 0.943 0.715  2.58
Co3 0.694 0.057 0.285  2.58
Co4 0.662 0.844 0.844  2.59
Co5 0.306 0.715 0.943  2.58
Co6 0.694 0.285 0.057  2.58
K1 0.209 0.262 0.598  0.00
K2 0.791 0.738 0.402  0.00
K3 0.791 0.402 0.738  0.00
K4 0.209 0.598 0.262  0.00
Cl1 0.500 0.205 0.795  0.16
Cl2 0.208 0.083 0.884  0.21
Cl3 0.849 0.100 0.524  0.14
Cl4 0.172 0.700 0.700  0.19
Cl5 0.500 0.795 0.205  0.16
Cl6 0.151 0.476 0.900  0.14
Cl7 0.849 0.524 0.100  0.14
Cl8 0.527 0.169 0.371  0.18
Cl9 0.527 0.371 0.169  0.18
Cl10 0.792 0.116 0.917  0.21
Cl11 0.222 0.288 0.288  0.18
Cl12 0.473 0.629 0.831  0.18
Cl13 0.473 0.831 0.629  0.18
Cl14 0.208 0.884 0.083  0.21
Cl15 0.778 0.712 0.712  0.18
Cl16 0.828 0.300 0.300  0.19
Cl17 0.792 0.917 0.116  0.21
Cl18 0.151 0.900 0.476  0.14


Record 4
This record from the Alexandria database describes a relaxed structure of KCoCl2. The functional is PBE.

Computed properties:
ρ ... 2.81 g cm⁻³
Distance to the lowest polymorph of the same formula ... 184.7 meV per atom
E_form (uncorrected) ... -258.6 kJ/mol of formula units
Spin magnetization ... 0.52 μB/atom
Calculated total energy ... -3.644 eV per atom
DOS(E_F) ... 2.289 states/eV/cell

Cell lengths 3.721, 3.721, 7.207 Å; angles 90.00, 90.00, 90.00 degrees
Each line ends with the local moment (μB).
Positions (direct):
Co1 0.000 0.000 0.316  1.91
Cl1 0.500 0.500 0.383  0.04
Cl2 0.000 0.000 0.994  0.01
K1 0.500 0.500 0.807  0.00


Record 5
This record from the Alexandria database describes a relaxed structure of KCoCl2. The functional is PBE.

Computed properties:
ρ ... 3.35 g cm⁻³
Distance to the lowest polymorph of the same formula ... 392.6 meV per atom
E_form (uncorrected) ... -178.4 kJ/mol of formula units
Spin magnetization ... 0.51 μB/atom
Calculated total energy ... -3.436 eV per atom
DOS(E_F) ... 5.124 states/eV/cell

Cell lengths 3.426, 3.426, 7.133 Å; angles 90.00, 90.00, 90.00 degrees
Each line ends with the local moment (μB).
Positions (direct):
Cl1 0.000 0.000 0.465  0.04
Cl2 0.000 0.000 0.035  0.04
K1 0.500 0.500 0.750  0.00
Co1 0.500 0.500 0.250  1.94


Record 6
This record from the Alexandria database describes a relaxed structure of K2CoCl. The functional is PBE.

Computed properties:
ρ ... 1.71 g cm⁻³
Distance to the lowest polymorph of the same formula ... 90.9 meV per atom
E_form (uncorrected) ... -42.2 kJ/mol of formula units
Spin magnetization ... 0.50 μB/atom
Calculated total energy ... -2.896 eV per atom
DOS(E_F) ... 0.000 states/eV/cell

Cell lengths 8.528, 8.528, 7.593 Å; angles 55.84, 55.84, 90.00 degrees
Each line ends with the local moment (μB).
Positions (direct):
K1 0.587 0.125 0.250  0.00
K2 0.163 0.625 0.250  0.00
K3 0.875 0.837 0.750  0.00
K4 0.375 0.413 0.750  0.00
Co1 0.000 0.000 0.000  1.99
Co2 0.750 0.250 0.500  1.99
Cl1 0.500 0.500 0.000  0.00
Cl2 0.250 0.750 0.500  0.00